Entry from Alexandria: an optimized crystal structure of Ce5Tl5Ir (PBE).

Volume (Å³/atom): 29.28
D(E_F) (states/eV/atom): 2.47
Crystal system: orthorhombic
Size of the total moment (μB per formula unit): 3.69
Density (kg/m³): 9872
Energy of formation from the pure elements (eV/atom): -0.234

Geometry as CIF:
```
data_Ce5Tl5Ir
_space_group_name_H-M_alt 'I m m m'
_space_group_IT_number 71
_space_group_name_Hall '-I 2 2'
_cell_length_a 5.543
_cell_length_b 6.882
_cell_length_c 16.886
_cell_angle_alpha 90.00
_cell_angle_beta 90.00
_cell_angle_gamma 90.00
loop_
_atom_site_label
_atom_site_type_symbol
_atom_site_fract_x
_atom_site_fract_y
_atom_site_fract_z
Ce1 Ce 0.000 0.000 0.000
Ce2 Ce 0.000 0.291 0.350
Tl1 Tl 0.000 0.000 0.198
Tl2 Tl 0.000 0.000 0.500
Tl3 Tl 0.000 0.500 0.140
Ir1 Ir 0.000 0.500 0.500
```


Entry from Alexandria: an optimized crystal structure of V2Ga2H (PBE).

Volume (Å³/atom): 12.04
Total energy (eV per atom): -5.700
D(E_F) (states/eV/atom): 0.53
Crystal system: monoclinic
Size of the total moment (μB per formula unit): 0.00
Density (kg/m³): 6683

Geometry as CIF:
```
data_V2Ga2H
_space_group_name_H-M_alt 'C 1 2/m 1'
_space_group_IT_number 12
_cell_length_a 9.606
_cell_length_b 3.241
_cell_length_c 9.024
_cell_angle_alpha 90.00
_cell_angle_beta 120.99
_cell_angle_gamma 90.00
loop_
_space_group_symop_operation_xyz
'x,y,z'
'-x,-y,-z'
'-x,y,-z'
'x,-y,z'
'x+1/2,y+1/2,z'
'-x+1/2,-y+1/2,-z'
'-x+1/2,y+1/2,-z'
'x+1/2,-y+1/2,z'
loop_
_atom_site_label
_atom_site_type_symbol
_atom_site_fract_x
_atom_site_fract_y
_atom_site_fract_z
V1 V 0.027 0.000 0.152
V2 V 0.204 0.000 0.584
Ga1 Ga 0.030 0.500 0.661
Ga2 Ga 0.203 0.500 0.081
H1 H 0.202 0.000 0.378
```